DFT (GGA-PBE) results for an optimized crystal structure of La2AgBOs.

Unit cell a=5.4173 b=5.4173 c=4.0196 alpha=90.00 beta=90.00 gamma=90.00
Positions (direct):
La 0.0000 0.5000 0.0000
La 0.5000 0.0000 0.0000
Ag 0.0000 0.0000 0.5000
B 0.5000 0.5000 0.0000
Os 0.5000 0.5000 0.5000

Summary:
Electronic total energy ... -6.25 eV/atom
Volume ... 118 Å³/f.u.
M_tot ... 0.000 μB per formula unit

DFT (GGA-PBE) results for an optimized crystal structure of Tl2InPd5Au2.

Unit cell a=10.1726 b=10.1726 c=3.6892 alpha=90.00 beta=90.00 gamma=90.00
Positions (direct):
Tl 0.1571 0.3429 0.0000
Tl 0.3429 0.8429 0.0000
Tl 0.6571 0.1571 0.0000
Tl 0.8429 0.6571 0.0000
In 0.0000 0.0000 0.0000
In 0.5000 0.5000 0.0000
Pd 0.0000 0.5000 0.5000
Pd 0.0081 0.7975 0.5000
Pd 0.2025 0.0081 0.5000
Pd 0.2975 0.5081 0.5000
Pd 0.4919 0.2975 0.5000
Pd 0.5000 0.0000 0.5000
Pd 0.5081 0.7025 0.5000
Pd 0.7025 0.4919 0.5000
Pd 0.7975 0.9919 0.5000
Pd 0.9919 0.2025 0.5000
Au 0.1498 0.6498 0.0000
Au 0.3502 0.1498 0.0000
Au 0.6498 0.8502 0.0000
Au 0.8502 0.3502 0.0000

Summary:
Electronic total energy ... -4.15 eV/atom
Volume ... 191 Å³/f.u.
M_tot ... 0.000 μB per formula unit

DFT (GGA-PBE) results for an optimized crystal structure of KCd3In5.

Unit cell a=7.8049 b=7.8049 c=15.9918 alpha=90.00 beta=90.00 gamma=145.67
Positions (direct):
K 0.1677 0.8323 0.7500
K 0.8323 0.1677 0.2500
Cd 0.1136 0.8864 0.2500
Cd 0.3728 0.6272 0.0445
Cd 0.3728 0.6272 0.4555
Cd 0.6272 0.3728 0.5445
Cd 0.6272 0.3728 0.9555
Cd 0.8864 0.1136 0.7500
In 0.0000 0.0000 0.0000
In 0.0000 0.0000 0.5000
In 0.1862 0.8138 0.0815
In 0.1862 0.8138 0.4185
In 0.4615 0.5385 0.6479
In 0.4615 0.5385 0.8521
In 0.5385 0.4615 0.1479
In 0.5385 0.4615 0.3521
In 0.8138 0.1862 0.5815
In 0.8138 0.1862 0.9185

Summary:
Electronic total energy ... -1.96 eV/atom
Volume ... 275 Å³/f.u.
M_tot ... 0.000 μB per formula unit

DFT (GGA-PBE) results for an optimized crystal structure of Na3LaC.

Unit cell a=5.0721 b=5.0721 c=5.0721 alpha=90.00 beta=90.00 gamma=90.00
Positions (direct):
Na 0.0000 0.0000 0.5000
Na 0.0000 0.5000 0.0000
Na 0.5000 0.0000 0.0000
La 0.5000 0.5000 0.5000
C 0.0000 0.0000 0.0000

Summary:
Electronic total energy ... -2.59 eV/atom
Volume ... 130 Å³/f.u.
M_tot ... 1.683 μB per formula unit

DFT (GGA-PBE) results for an optimized crystal structure of NbV2Cl6.

Unit cell a=8.6201 b=8.6201 c=5.4144 alpha=103.05 beta=103.05 gamma=94.50
Positions (direct):
Nb 0.0580 0.9420 0.7500
Nb 0.9420 0.0580 0.2500
V 0.2744 0.4780 0.8790
V 0.4780 0.2744 0.3790
V 0.5220 0.7256 0.6210
V 0.7256 0.5220 0.1210
Cl 0.0757 0.2263 0.6987
Cl 0.0848 0.6654 0.8435
Cl 0.2263 0.0757 0.1987
Cl 0.3050 0.4922 0.4169
Cl 0.3346 0.9152 0.6565
Cl 0.4922 0.3050 0.9169
Cl 0.5078 0.6950 0.0831
Cl 0.6654 0.0848 0.3435
Cl 0.6950 0.5078 0.5831
Cl 0.7737 0.9243 0.8013
Cl 0.9152 0.3346 0.1565
Cl 0.9243 0.7737 0.3013

Summary:
Electronic total energy ... -5.27 eV/atom
Volume ... 189 Å³/f.u.
M_tot ... 6.016 μB per formula unit
Energy relative to the elements, uncorrected ... -0.889 eV/atom

DFT (GGA-PBE) results for an optimized crystal structure of RbSbCl2.

Unit cell a=5.5642 b=5.5642 c=5.5642 alpha=60.00 beta=60.00 gamma=60.00
Positions (direct):
Rb 0.0000 0.0000 0.0000
Sb 0.5000 0.5000 0.5000
Cl 0.2500 0.2500 0.2500
Cl 0.7500 0.7500 0.7500

Summary:
Electronic total energy ... -2.78 eV/atom
Distance to the lowest polymorph of the same formula ... 376 meV per atom
Volume ... 122 Å³/f.u.
M_tot ... 2.000 μB per formula unit
Energy relative to the elements, uncorrected ... -0.581 eV/atom

DFT (GGA-PBE) results for an optimized crystal structure of AlCd2In.

Unit cell a=6.3662 b=6.3662 c=6.3662 alpha=152.46 beta=129.10 gamma=58.85
Positions (direct):
Al 0.0000 0.0000 0.0000
Cd 0.2313 0.7313 0.5000
Cd 0.7687 0.2687 0.5000
In 0.5000 0.5000 0.0000

Summary:
Electronic total energy ... -1.96 eV/atom
Distance to the lowest polymorph of the same formula ... 44 meV per atom
Volume ... 92 Å³/f.u.
M_tot ... 0.000 μB per formula unit

DFT (GGA-PBE) results for an optimized crystal structure of TcHS2.

Unit cell a=6.0501 b=6.0501 c=6.0501 alpha=131.73 beta=131.73 gamma=70.66
Positions (direct):
Tc 0.0000 0.0000 0.0000
Tc 0.7500 0.2500 0.5000
H 0.2500 0.7500 0.5000
H 0.5000 0.5000 0.0000
S 0.1591 0.6250 0.0341
S 0.3750 0.4091 0.5341
S 0.5909 0.1250 0.9659
S 0.8750 0.8409 0.4659

Summary:
Electronic total energy ... -5.30 eV/atom
Distance to the lowest polymorph of the same formula ... 376 meV per atom
Volume ... 60 Å³/f.u.
M_tot ... 0.000 μB per formula unit

DFT (GGA-PBE) results for an optimized crystal structure of AcLa6Y12.

Unit cell a=9.6603 b=9.6603 c=9.6603 alpha=110.91 beta=110.91 gamma=110.91
Positions (direct):
Ac 0.0000 0.0000 0.0000
La 0.0533 0.5785 0.3688
La 0.3688 0.0533 0.5785
La 0.4215 0.6312 0.9467
La 0.5785 0.3688 0.0533
La 0.6312 0.9467 0.4215
La 0.9467 0.4215 0.6312
Y 0.1064 0.1583 0.7360
Y 0.1583 0.7360 0.1064
Y 0.2127 0.3182 0.4766
Y 0.2640 0.8936 0.8417
Y 0.3182 0.4766 0.2127
Y 0.4766 0.2127 0.3182
Y 0.5234 0.7873 0.6818
Y 0.6818 0.5234 0.7873
Y 0.7360 0.1064 0.1583
Y 0.7873 0.6818 0.5234
Y 0.8417 0.2640 0.8936
Y 0.8936 0.8417 0.2640

Summary:
Electronic total energy ... -5.82 eV/atom
Volume ... 654 Å³/f.u.
M_tot ... 0.000 μB per formula unit

DFT (GGA-PBE) results for an optimized crystal structure of GaTc3B.

Unit cell a=4.1106 b=4.1106 c=4.1106 alpha=90.00 beta=90.00 gamma=90.00
Positions (direct):
Ga 0.0000 0.0000 0.0000
Tc 0.0000 0.5000 0.5000
Tc 0.5000 0.0000 0.5000
Tc 0.5000 0.5000 0.0000
B 0.5000 0.5000 0.5000

Summary:
Electronic total energy ... -8.02 eV/atom
Distance to the lowest polymorph of the same formula ... 0 meV per atom
Volume ... 69 Å³/f.u.
M_tot ... 0.000 μB per formula unit

DFT (GGA-PBE) results for an optimized crystal structure of TbIn3Cu8.

Unit cell a=8.9193 b=8.9193 c=8.9193 alpha=33.07 beta=33.07 gamma=33.07
Positions (direct):
Tb 0.0000 0.0000 0.0000
In 0.1250 0.1250 0.1250
In 0.5003 0.5003 0.5003
In 0.6230 0.6230 0.6230
Cu 0.0624 0.0624 0.5596
Cu 0.0624 0.5596 0.0624
Cu 0.0650 0.5634 0.5634
Cu 0.3120 0.3120 0.3120
Cu 0.5596 0.0624 0.0624
Cu 0.5634 0.0650 0.5634
Cu 0.5634 0.5634 0.0650
Cu 0.8128 0.8128 0.8128

Summary:
Electronic total energy ... -3.94 eV/atom
Distance to the lowest polymorph of the same formula ... 0 meV per atom
Volume ... 188 Å³/f.u.
M_tot ... 0.000 μB per formula unit

DFT (GGA-PBE) results for an optimized crystal structure of Rb4Sm3TmSe8.

Unit cell a=9.4191 b=9.4191 c=9.4191 alpha=54.25 beta=54.25 gamma=54.25
Positions (direct):
Rb 0.0000 0.0000 0.0000
Rb 0.0000 0.5000 0.5000
Rb 0.5000 0.0000 0.5000
Rb 0.5000 0.5000 0.0000
Sm 0.0000 0.0000 0.5000
Sm 0.0000 0.5000 0.0000
Sm 0.5000 0.0000 0.0000
Tm 0.5000 0.5000 0.5000
Se 0.2333 0.2333 0.2333
Se 0.2395 0.7286 0.7286
Se 0.2714 0.2714 0.7605
Se 0.2714 0.7605 0.2714
Se 0.7286 0.2395 0.7286
Se 0.7286 0.7286 0.2395
Se 0.7605 0.2714 0.2714
Se 0.7667 0.7667 0.7667

Summary:
Electronic total energy ... -4.88 eV/atom
Volume ... 512 Å³/f.u.
M_tot ... 0.000 μB per formula unit
Energy relative to the elements, uncorrected ... -1.732 eV/atom

DFT (GGA-PBE) results for an optimized crystal structure of Na2SrTl.

Unit cell a=4.9382 b=4.9382 c=5.9035 alpha=90.00 beta=90.00 gamma=90.00
Positions (direct):
Na 0.0000 0.5000 0.0000
Na 0.5000 0.0000 0.0000
Sr 0.0000 0.0000 0.5000
Tl 0.5000 0.5000 0.5000

Summary:
Electronic total energy ... -1.77 eV/atom
Distance to the lowest polymorph of the same formula ... 13 meV per atom
Volume ... 144 Å³/f.u.
M_tot ... 0.000 μB per formula unit

DFT (GGA-PBE) results for an optimized crystal structure of MnInBr2.

Unit cell a=9.8823 b=9.8823 c=9.8823 alpha=21.85 beta=21.85 gamma=21.85
Positions (direct):
Mn 0.0000 0.0000 0.0000
In 0.5000 0.5000 0.5000
Br 0.2784 0.2784 0.2784
Br 0.7216 0.7216 0.7216

Summary:
Electronic total energy ... -4.22 eV/atom
Distance to the lowest polymorph of the same formula ... 0 meV per atom
Volume ... 117 Å³/f.u.
M_tot ... 4.759 μB per formula unit
Energy relative to the elements, uncorrected ... -0.410 eV/atom

DFT (GGA-PBE) results for an optimized crystal structure of NaDy2Pb5.

Unit cell a=6.7042 b=6.7042 c=6.7042 alpha=107.41 beta=107.41 gamma=113.68
Positions (direct):
Na 0.0000 0.0000 0.0000
Dy 0.0006 0.5006 0.5000
Dy 0.5006 0.0006 0.5000
Pb 0.0009 0.0009 0.5004
Pb 0.0009 0.5005 0.0000
Pb 0.5005 0.0009 0.0000
Pb 0.5011 0.5011 0.0000
Pb 0.5005 0.5005 0.4996

Summary:
Electronic total energy ... -3.91 eV/atom
Volume ... 231 Å³/f.u.
M_tot ... 0.000 μB per formula unit

DFT (GGA-PBE) results for an optimized crystal structure of KFe2SnCl8.

Unit cell a=7.5307 b=7.5307 c=7.7687 alpha=101.95 beta=101.95 gamma=59.58
Positions (direct):
K 0.0000 0.0000 0.0000
Fe 0.1958 0.1958 0.6490
Fe 0.8042 0.8042 0.3510
Sn 0.5000 0.5000 0.5000
Cl 0.1211 0.6418 0.2518
Cl 0.1639 0.1639 0.3585
Cl 0.3582 0.8789 0.7482
Cl 0.3725 0.3725 0.7587
Cl 0.6275 0.6275 0.2413
Cl 0.6418 0.1211 0.2518
Cl 0.8361 0.8361 0.6415
Cl 0.8789 0.3582 0.7482

Summary:
Electronic total energy ... -4.09 eV/atom
Volume ... 369 Å³/f.u.
M_tot ... 9.000 μB per formula unit
Energy relative to the elements, uncorrected ... -1.027 eV/atom

DFT (GGA-PBE) results for an optimized crystal structure of Mg2CdInHg5.

Unit cell a=8.6205 b=8.6205 c=14.9714 alpha=90.00 beta=90.00 gamma=156.95
Positions (direct):
Mg 0.0605 0.9395 0.5000
Mg 0.1732 0.8268 0.8104
Mg 0.8268 0.1732 0.3104
Mg 0.9395 0.0605 0.0000
Cd 0.4437 0.5563 0.6282
Cd 0.5563 0.4437 0.1282
In 0.1986 0.8014 0.1979
In 0.8014 0.1986 0.6979
Hg 0.0107 0.9893 0.2919
Hg 0.2526 0.7474 0.5202
Hg 0.3414 0.6586 0.8761
Hg 0.3778 0.6222 0.1527
Hg 0.4164 0.5836 0.4347
Hg 0.5836 0.4164 0.9347
Hg 0.6222 0.3778 0.6527
Hg 0.6586 0.3414 0.3761
Hg 0.7474 0.2526 0.0202
Hg 0.9893 0.0107 0.7919

Summary:
Electronic total energy ... -0.99 eV/atom
Volume ... 218 Å³/f.u.
M_tot ... 0.000 μB per formula unit

DFT (GGA-PBE) results for an optimized crystal structure of Na2YInI6.

Unit cell a=8.8059 b=8.8059 c=8.8059 alpha=54.93 beta=54.93 gamma=54.93
Positions (direct):
Na 0.0000 0.0000 0.0000
Na 0.4872 0.4872 0.4872
Y 0.6752 0.6752 0.6752
In 0.1868 0.1868 0.1868
I 0.0596 0.4289 0.7586
I 0.2819 0.8729 0.6161
I 0.4289 0.7586 0.0596
I 0.6161 0.2819 0.8729
I 0.7586 0.0596 0.4289
I 0.8729 0.6161 0.2819

Summary:
Electronic total energy ... -3.26 eV/atom
Volume ... 426 Å³/f.u.
M_tot ... 0.000 μB per formula unit
Energy relative to the elements, uncorrected ... -1.144 eV/atom

DFT (GGA-PBE) results for an optimized crystal structure of AcPr2H.

Unit cell a=9.3346 b=9.3346 c=9.3346 alpha=23.87 beta=23.87 gamma=23.87
Positions (direct):
Ac 0.0000 0.0000 0.0000
Pr 0.2195 0.2195 0.2195
Pr 0.7805 0.7805 0.7805
H 0.5000 0.5000 0.5000

Summary:
Electronic total energy ... -4.41 eV/atom
Distance to the lowest polymorph of the same formula ... 0 meV per atom
Volume ... 117 Å³/f.u.
M_tot ... 0.000 μB per formula unit

DFT (GGA-PBE) results for an optimized crystal structure of Sm2Dy6Cd.

Unit cell a=10.0102 b=10.2537 c=5.4025 alpha=90.00 beta=90.00 gamma=90.00
Positions (direct):
Sm 0.1996 0.2316 0.0000
Sm 0.3004 0.7316 0.5000
Sm 0.6996 0.2684 0.5000
Sm 0.8004 0.7684 0.0000
Dy 0.0250 0.3217 0.5000
Dy 0.1350 0.8849 0.0000
Dy 0.1784 0.5568 0.0000
Dy 0.3216 0.0568 0.5000
Dy 0.3650 0.3849 0.5000
Dy 0.4750 0.8217 0.0000
Dy 0.5250 0.1783 0.0000
Dy 0.6350 0.6151 0.5000
Dy 0.6784 0.9432 0.5000
Dy 0.8216 0.4432 0.0000
Dy 0.8650 0.1151 0.0000
Dy 0.9750 0.6783 0.5000
Cd 0.0000 0.0000 0.5000
Cd 0.5000 0.5000 0.0000

Summary:
Electronic total energy ... -4.20 eV/atom
Volume ... 277 Å³/f.u.
M_tot ... 0.001 μB per formula unit

DFT (GGA-PBE) results for an optimized crystal structure of PrDy5.

Unit cell a=6.1782 b=6.1782 c=6.1794 alpha=99.53 beta=99.53 gamma=120.03
Positions (direct):
Pr 0.0000 0.0000 0.0000
Dy 0.1674 0.8326 0.5000
Dy 0.3330 0.6670 0.0000
Dy 0.5000 0.5000 0.5000
Dy 0.6670 0.3330 0.0000
Dy 0.8326 0.1674 0.5000

Summary:
Electronic total energy ... -4.61 eV/atom
Distance to the lowest polymorph of the same formula ... 0 meV per atom
Volume ... 193 Å³/f.u.
M_tot ... 0.000 μB per formula unit

DFT (GGA-PBE) results for an optimized crystal structure of La6Tl5Sb.

Unit cell a=9.8177 b=9.8177 c=5.6699 alpha=106.75 beta=106.75 gamma=121.43
Positions (direct):
La 0.0796 0.4053 0.7424
La 0.2372 0.2372 0.2371
La 0.4053 0.0796 0.7424
La 0.5947 0.9204 0.2576
La 0.7628 0.7628 0.7629
La 0.9204 0.5947 0.2576
Tl 0.1783 0.8217 0.0000
Tl 0.3372 0.6628 0.5000
Tl 0.5000 0.5000 0.0000
Tl 0.6628 0.3372 0.5000
Tl 0.8217 0.1783 0.0000
Sb 0.0000 0.0000 0.5000

Summary:
Electronic total energy ... -4.32 eV/atom
Volume ... 377 Å³/f.u.
M_tot ... 0.000 μB per formula unit
Energy relative to the elements, uncorrected ... -0.524 eV/atom